Record 1
{"formula": "Na4ThSb3Se8", "functional": "PBE", "state": "optimized geometry", "lattice_angstrom": [[4.277, 2.469, 6.923], [-4.277, 2.469, 6.923], [0.000, -4.939, 6.923]], "species": ["Na", "Na", "Na", "Na", "Th", "Sb", "Sb", "Sb", "Se", "Se", "Se", "Se", "Se", "Se", "Se", "Se"], "fractional_positions": [[0.000, 0.000, 0.000], [0.000, 0.500, 0.500], [0.500, 0.000, 0.500], [0.500, 0.500, 0.000], [0.500, 0.500, 0.500], [0.000, 0.000, 0.500], [0.000, 0.500, 0.000], [0.500, 0.000, 0.000], [0.242, 0.242, 0.242], [0.244, 0.743, 0.743], [0.257, 0.257, 0.756], [0.257, 0.756, 0.257], [0.743, 0.244, 0.743], [0.743, 0.743, 0.244], [0.756, 0.257, 0.257], [0.758, 0.758, 0.758]], "e_form_raw_ev_per_atom": -0.8642, "sg": "No. 166", "total_energy_ev_per_cell": -66.8}



Record 2
{"formula": "Li2Sm2ThMg5", "functional": "PBE", "state": "optimized geometry", "lattice_angstrom": [[10.656, 0.000, 0.000], [0.000, 10.656, 0.000], [0.000, 0.000, 4.477]], "species": ["Li", "Li", "Li", "Li", "Sm", "Sm", "Sm", "Sm", "Th", "Th", "Mg", "Mg", "Mg", "Mg", "Mg", "Mg", "Mg", "Mg", "Mg", "Mg"], "fractional_positions": [[0.111, 0.389, 0.000], [0.389, 0.889, 0.000], [0.611, 0.111, 0.000], [0.889, 0.611, 0.000], [0.183, 0.683, 0.000], [0.317, 0.183, 0.000], [0.683, 0.817, 0.000], [0.817, 0.317, 0.000], [0.000, 0.000, 0.000], [0.500, 0.500, 0.000], [0.000, 0.500, 0.500], [0.058, 0.219, 0.500], [0.219, 0.942, 0.500], [0.281, 0.442, 0.500], [0.442, 0.719, 0.500], [0.500, 0.000, 0.500], [0.558, 0.281, 0.500], [0.719, 0.558, 0.500], [0.781, 0.058, 0.500], [0.942, 0.781, 0.500]], "sg": "No. 127", "formation_energy_ev_per_atom": 0.012, "total_energy_ev_per_cell": -57.1}



Record 3
{"formula": "LiNp2P3Ir12", "functional": "PBE", "state": "optimized geometry", "lattice_angstrom": [[4.298, 2.482, 4.545], [-4.298, 2.482, 4.545], [0.000, -4.963, 4.545]], "species": ["Li", "Np", "Np", "P", "P", "P", "Ir", "Ir", "Ir", "Ir", "Ir", "Ir", "Ir", "Ir", "Ir", "Ir", "Ir", "Ir"], "fractional_positions": [[0.000, 0.000, 0.000], [0.412, 0.412, 0.412], [0.588, 0.588, 0.588], [0.000, 0.000, 0.500], [0.000, 0.500, 0.000], [0.500, 0.000, 0.000], [0.095, 0.647, 0.647], [0.177, 0.177, 0.648], [0.177, 0.648, 0.177], [0.352, 0.823, 0.823], [0.353, 0.353, 0.905], [0.353, 0.905, 0.353], [0.647, 0.095, 0.647], [0.647, 0.647, 0.095], [0.648, 0.177, 0.177], [0.823, 0.352, 0.823], [0.823, 0.823, 0.352], [0.905, 0.353, 0.353]], "sg": "No. 166", "formation_energy_ev_per_atom": -0.062, "total_energy_ev_per_cell": -151.5}



Record 4
{"formula": "DyThAu6", "functional": "PBE", "state": "optimized geometry", "lattice_angstrom": [[4.279, -2.465, 0.000], [4.279, 2.465, 0.000], [-2.878, 0.000, 8.063]], "species": ["Dy", "Th", "Au", "Au", "Au", "Au", "Au", "Au"], "fractional_positions": [[0.000, 0.000, 0.000], [0.500, 0.500, 0.500], [0.122, 0.122, 0.365], [0.249, 0.249, 0.748], [0.372, 0.372, 0.116], [0.628, 0.628, 0.884], [0.751, 0.751, 0.252], [0.878, 0.878, 0.635]], "sg": "No. 12", "formation_energy_ev_per_atom": -0.643, "total_energy_ev_per_cell": -36.8}



Record 5
{"formula": "Mg2CdTc", "functional": "PBE", "state": "optimized geometry", "lattice_angstrom": [[-2.111, 2.111, 4.030], [2.111, -2.111, 4.030], [2.111, 2.111, -4.030]], "species": ["Mg", "Mg", "Cd", "Tc"], "fractional_positions": [[0.250, 0.750, 0.500], [0.750, 0.250, 0.500], [0.000, 0.000, 0.000], [0.500, 0.500, 0.000]], "sg": "No. 139", "formation_energy_ev_per_atom": 0.219, "total_energy_ev_per_cell": -13.6}



Record 6
{"formula": "BaTcCl2", "functional": "PBE", "state": "optimized geometry", "lattice_angstrom": [[5.165, -2.142, 0.000], [5.165, 2.142, 0.000], [-0.320, 0.000, 5.591]], "species": ["Ba", "Tc", "Cl", "Cl"], "fractional_positions": [[0.000, 0.000, 0.000], [0.500, 0.500, 0.500], [0.312, 0.312, 0.240], [0.688, 0.688, 0.760]], "e_form_raw_ev_per_atom": -0.5844, "sg": "No. 12", "total_energy_ev_per_cell": -18.3, "de_polymorph_ev_per_atom": 0.002}



Record 7
{"formula": "CoRh2C2", "functional": "PBE", "state": "optimized geometry", "lattice_angstrom": [[5.645, 0.000, 0.000], [0.000, 5.645, 0.000], [0.000, 0.000, 3.356]], "species": ["Co", "Co", "Rh", "Rh", "Rh", "Rh", "C", "C", "C", "C"], "fractional_positions": [[0.000, 0.000, 0.000], [0.500, 0.500, 0.000], [0.174, 0.326, 0.500], [0.326, 0.826, 0.500], [0.674, 0.174, 0.500], [0.826, 0.674, 0.500], [0.193, 0.693, 0.000], [0.307, 0.193, 0.000], [0.693, 0.807, 0.000], [0.807, 0.307, 0.000]], "sg": "No. 127", "formation_energy_ev_per_atom": 0.858, "total_energy_ev_per_cell": -71.9, "de_polymorph_ev_per_atom": 0.201}



Record 8
{"formula": "Zr2ZnSe", "functional": "PBE", "state": "optimized geometry", "lattice_angstrom": [[-1.999, 2.512, 3.864], [1.999, -2.512, 3.864], [1.999, 2.512, -3.864]], "species": ["Zr", "Zr", "Zn", "Se"], "fractional_positions": [[0.243, 0.243, 0.000], [0.757, 0.757, 0.000], [0.500, 0.000, 0.500], [0.000, 0.500, 0.500]], "e_form_raw_ev_per_atom": -0.4925, "sg": "No. 71", "total_energy_ev_per_cell": -23.8, "de_polymorph_ev_per_atom": 0.190}



Record 9
{"formula": "TaHgAs2Br", "functional": "PBE", "state": "optimized geometry", "lattice_angstrom": [[4.969, 0.000, 0.000], [0.000, 4.969, 0.000], [0.000, 0.000, 5.691]], "species": ["Ta", "Hg", "As", "As", "Br"], "fractional_positions": [[0.000, 0.000, 0.000], [0.000, 0.000, 0.500], [0.000, 0.500, 0.000], [0.500, 0.000, 0.000], [0.500, 0.500, 0.500]], "e_form_raw_ev_per_atom": 0.2822, "sg": "No. 123", "total_energy_ev_per_cell": -21.7, "de_polymorph_ev_per_atom": 0.154}



Record 10
{"formula": "TbPm6Ho2Er", "functional": "PBE", "state": "optimized geometry", "lattice_angstrom": [[4.603, -7.617, 0.000], [4.603, 7.617, 0.000], [-1.246, 0.000, 9.535]], "species": ["Tb", "Tb", "Pm", "Pm", "Pm", "Pm", "Pm", "Pm", "Pm", "Pm", "Pm", "Pm", "Pm", "Pm", "Ho", "Ho", "Ho", "Ho", "Er", "Er"], "fractional_positions": [[0.027, 0.973, 0.750], [0.973, 0.027, 0.250], [0.011, 0.565, 0.687], [0.118, 0.760, 0.055], [0.240, 0.882, 0.445], [0.292, 0.509, 0.881], [0.435, 0.989, 0.813], [0.491, 0.708, 0.619], [0.509, 0.292, 0.381], [0.565, 0.011, 0.187], [0.708, 0.491, 0.119], [0.760, 0.118, 0.555], [0.882, 0.240, 0.945], [0.989, 0.435, 0.313], [0.201, 0.300, 0.546], [0.300, 0.201, 0.046], [0.700, 0.799, 0.954], [0.799, 0.700, 0.454], [0.410, 0.590, 0.250], [0.590, 0.410, 0.750]], "sg": "No. 15", "formation_energy_ev_per_atom": 0.117, "total_energy_ev_per_cell": -91.4}



Record 11
{"formula": "Rb2MoBr7", "functional": "PBE", "state": "optimized geometry", "lattice_angstrom": [[-4.128, 4.128, 5.878], [4.128, -4.128, 5.878], [4.128, 4.128, -5.878]], "species": ["Rb", "Rb", "Mo", "Br", "Br", "Br", "Br", "Br", "Br", "Br"], "fractional_positions": [[0.250, 0.750, 0.500], [0.750, 0.250, 0.500], [0.000, 0.000, 0.000], [0.216, 0.216, 0.000], [0.218, 0.218, 0.435], [0.218, 0.782, 0.000], [0.500, 0.500, 0.000], [0.782, 0.218, 0.000], [0.782, 0.782, 0.565], [0.784, 0.784, 0.000]], "e_form_raw_ev_per_atom": -0.8491, "sg": "No. 139", "total_energy_ev_per_cell": -33.0, "de_polymorph_ev_per_atom": 0.043}



Record 12
{"formula": "Cs4ZrS5", "functional": "PBE", "state": "optimized geometry", "lattice_angstrom": [[-5.231, 5.231, 3.622], [5.231, -5.231, 3.622], [5.231, 5.231, -3.622]], "species": ["Cs", "Cs", "Cs", "Cs", "Zr", "S", "S", "S", "S", "S"], "fractional_positions": [[0.090, 0.298, 0.388], [0.298, 0.910, 0.209], [0.702, 0.090, 0.791], [0.910, 0.702, 0.612], [0.572, 0.572, 0.000], [0.263, 0.560, 0.849], [0.413, 0.263, 0.702], [0.560, 0.711, 0.298], [0.711, 0.413, 0.151], [0.901, 0.901, 0.000]], "e_form_raw_ev_per_atom": -1.0714, "sg": "No. 79", "total_energy_ev_per_cell": -43.3}



Record 13
{"formula": "Hg2As2Pt", "functional": "PBE", "state": "optimized geometry", "lattice_angstrom": [[7.352, 0.000, 0.000], [0.000, 7.352, 0.000], [0.000, 0.000, 4.137]], "species": ["Hg", "Hg", "Hg", "Hg", "As", "As", "As", "As", "Pt", "Pt"], "fractional_positions": [[0.174, 0.326, 0.000], [0.326, 0.826, 0.000], [0.674, 0.174, 0.000], [0.826, 0.674, 0.000], [0.121, 0.621, 0.500], [0.379, 0.121, 0.500], [0.621, 0.879, 0.500], [0.879, 0.379, 0.500], [0.000, 0.000, 0.000], [0.500, 0.500, 0.000]], "sg": "No. 127", "formation_energy_ev_per_atom": 0.452, "total_energy_ev_per_cell": -27.4, "de_polymorph_ev_per_atom": 0.538}



Record 14
{"formula": "KLi2HgGe", "functional": "PBE", "state": "optimized geometry", "lattice_angstrom": [[5.091, 0.000, 0.000], [0.000, 5.091, 0.000], [0.000, 0.000, 5.516]], "species": ["K", "Li", "Li", "Hg", "Ge"], "fractional_positions": [[0.000, 0.000, 0.000], [0.000, 0.500, 0.500], [0.500, 0.000, 0.500], [0.500, 0.500, 0.000], [0.500, 0.500, 0.500]], "sg": "No. 123", "formation_energy_ev_per_atom": -0.146, "total_energy_ev_per_cell": -10.6, "de_polymorph_ev_per_atom": 0.000}



Record 15
{"formula": "YTcNi", "functional": "PBE", "state": "optimized geometry", "lattice_angstrom": [[0.000, 3.158, 3.158], [3.158, 0.000, 3.158], [3.158, 3.158, 0.000]], "species": ["Y", "Tc", "Ni"], "fractional_positions": [[0.000, 0.000, 0.000], [0.250, 0.250, 0.250], [0.750, 0.750, 0.750]], "sg": "No. 216", "formation_energy_ev_per_atom": 1.114, "total_energy_ev_per_cell": -19.3, "de_polymorph_ev_per_atom": 1.213}



Record 16
{"formula": "Cr2AgAu", "functional": "PBE", "state": "optimized geometry", "lattice_angstrom": [[-2.014, 2.014, 4.022], [2.014, -2.014, 4.022], [2.014, 2.014, -4.022]], "species": ["Cr", "Cr", "Ag", "Au"], "fractional_positions": [[0.000, 0.000, 0.000], [0.750, 0.250, 0.500], [0.250, 0.750, 0.500], [0.500, 0.500, 0.000]], "sg": "No. 119", "formation_energy_ev_per_atom": 0.215, "total_energy_ev_per_cell": -24.5, "de_polymorph_ev_per_atom": 0.036}



Record 17
{"formula": "CePuBiAu", "functional": "PBE", "state": "optimized geometry", "lattice_angstrom": [[0.000, 3.809, 3.809], [3.809, 0.000, 3.809], [3.809, 3.809, 0.000]], "species": ["Ce", "Pu", "Bi", "Au"], "fractional_positions": [[0.000, 0.000, 0.000], [0.500, 0.500, 0.500], [0.250, 0.250, 0.250], [0.750, 0.750, 0.750]], "sg": "No. 216", "formation_energy_ev_per_atom": -0.490, "total_energy_ev_per_cell": -29.4}



Record 18
{"formula": "Dy3SbS6", "functional": "PBE", "state": "optimized geometry", "lattice_angstrom": [[5.299, -6.682, 0.000], [5.299, 6.682, 0.000], [0.000, 0.000, 6.800]], "species": ["Dy", "Dy", "Dy", "Dy", "Dy", "Dy", "Sb", "Sb", "S", "S", "S", "S", "S", "S", "S", "S", "S", "S", "S", "S"], "fractional_positions": [[0.095, 0.905, 0.500], [0.214, 0.415, 0.593], [0.415, 0.214, 0.093], [0.585, 0.786, 0.593], [0.786, 0.585, 0.093], [0.905, 0.095, 0.000], [0.322, 0.678, 0.111], [0.678, 0.322, 0.611], [0.065, 0.599, 0.310], [0.135, 0.195, 0.293], [0.195, 0.135, 0.793], [0.269, 0.731, 0.730], [0.401, 0.935, 0.310], [0.489, 0.511, 0.360], [0.511, 0.489, 0.860], [0.599, 0.065, 0.810], [0.731, 0.269, 0.230], [0.805, 0.865, 0.293], [0.865, 0.805, 0.793], [0.935, 0.401, 0.810]], "e_form_raw_ev_per_atom": -1.5702, "sg": "No. 36", "total_energy_ev_per_cell": -116.8, "de_polymorph_ev_per_atom": 0.012}



Record 19
{"formula": "NaPuTh2S4", "functional": "PBE", "state": "optimized geometry", "lattice_angstrom": [[6.953, 0.000, 0.000], [0.000, 3.994, 0.000], [-2.303, 0.000, 6.613]], "species": ["Na", "Pu", "Th", "Th", "S", "S", "S", "S"], "fractional_positions": [[0.000, 0.000, 0.000], [0.500, 0.500, 0.000], [0.000, 0.500, 0.500], [0.500, 0.000, 0.500], [0.248, 0.500, 0.246], [0.252, 0.000, 0.759], [0.748, 0.000, 0.241], [0.752, 0.500, 0.754]], "e_form_raw_ev_per_atom": -1.7094, "sg": "No. 10", "total_energy_ev_per_cell": -60.7}



Record 20
{"formula": "TiZn", "functional": "PBE", "state": "optimized geometry", "lattice_angstrom": [[-4.117, 4.117, 4.117], [4.117, -4.117, 4.117], [4.117, 4.117, -4.117]], "species": ["Ti", "Ti", "Ti", "Ti", "Zn", "Zn", "Zn", "Zn"], "fractional_positions": [[0.000, 0.000, 0.774], [0.000, 0.774, 0.000], [0.226, 0.226, 0.226], [0.774, 0.000, 0.000], [0.000, 0.000, 0.393], [0.000, 0.393, 0.000], [0.393, 0.000, 0.000], [0.607, 0.607, 0.607]], "sg": "No. 217", "formation_energy_ev_per_atom": 1.032, "total_energy_ev_per_cell": -28.4}



Record 21
{"formula": "YOs3Cl", "functional": "PBE", "state": "optimized geometry", "lattice_angstrom": [[5.105, 0.000, 0.000], [0.000, 5.105, 0.000], [0.000, 0.000, 5.105]], "species": ["Y", "Os", "Os", "Os", "Cl"], "fractional_positions": [[0.000, 0.000, 0.000], [0.000, 0.000, 0.500], [0.000, 0.500, 0.000], [0.500, 0.000, 0.000], [0.500, 0.500, 0.500]], "e_form_raw_ev_per_atom": 3.0773, "sg": "No. 221", "total_energy_ev_per_cell": -26.6, "de_polymorph_ev_per_atom": 1.882}



Record 22
{"formula": "CdNiBr2", "functional": "PBE", "state": "optimized geometry", "lattice_angstrom": [[-3.275, 3.275, 5.374], [3.275, -3.275, 5.374], [3.275, 3.275, -5.374]], "species": ["Cd", "Cd", "Ni", "Ni", "Br", "Br", "Br", "Br"], "fractional_positions": [[0.000, 0.000, 0.000], [0.750, 0.250, 0.500], [0.250, 0.750, 0.500], [0.500, 0.500, 0.000], [0.202, 0.625, 0.077], [0.375, 0.452, 0.577], [0.548, 0.125, 0.923], [0.875, 0.798, 0.423]], "e_form_raw_ev_per_atom": -0.0630, "sg": "No. 122", "total_energy_ev_per_cell": -20.6, "de_polymorph_ev_per_atom": 0.178}



Record 23
{"formula": "TmMg2Pd", "functional": "PBE", "state": "optimized geometry", "lattice_angstrom": [[0.000, 3.458, 3.458], [3.458, 0.000, 3.458], [3.458, 3.458, 0.000]], "species": ["Tm", "Mg", "Mg", "Pd"], "fractional_positions": [[0.000, 0.000, 0.000], [0.500, 0.500, 0.500], [0.750, 0.750, 0.750], [0.250, 0.250, 0.250]], "sg": "No. 216", "formation_energy_ev_per_atom": -0.385, "total_energy_ev_per_cell": -14.4}